# CaHfCrF2

A relaxed CaHfCrF2 crystal (PBE+U, Alexandria via LeMat-Bulk).

Cell: 4.209 6.967 4.209 Å, 90.00 90.00 90.00°
Element x y z (fractional)
F 0.000 0.000 0.500
F 0.500 0.000 0.000
Cr 0.000 0.500 0.000
Ca 0.000 0.000 0.000
Hf 0.500 0.500 0.500

Computed properties:
V: 123 Å³/cell
space group: P4/mmm
VASP energy: -5.746 eV/atom
crystal system: tetragonal
size of the total moment: 3.82 μB/f.u.